Li7Cu5Rh: relaxed, GGA-PBE.

Calculated values
energy of formation from the pure elements	-0.5	eV per formula unit
E	-3.213	eV/atom
V	189.7	Å³ per cell

Cell: 6.687 6.687 6.687 Å, 137.02 97.56 97.87°
Element x y z (fractional)
Li 0.000 0.000 0.000
Li 0.132 0.852 0.280
Li 0.141 0.641 0.500
Li 0.394 0.394 0.000
Li 0.571 0.852 0.720
Li 0.695 0.341 0.354
Li 0.987 0.341 0.646
Cu 0.357 0.350 0.510
Cu 0.357 0.847 0.007
Cu 0.571 0.071 0.500
Cu 0.840 0.350 0.993
Cu 0.840 0.847 0.490
Rh 0.694 0.694 0.000

***

Li3Cu6Rh: relaxed, GGA-PBE.

Calculated values
energy of formation from the pure elements	-0.5	eV per formula unit
E	-3.815	eV/atom
V	251.0	Å³ per cell

Cell: 6.915 4.290 8.889 Å, 90.00 107.82 90.00°
Element x y z (fractional)
Li 0.095 0.250 0.238
Li 0.296 0.750 0.368
Li 0.307 0.250 0.037
Li 0.693 0.750 0.963
Li 0.704 0.250 0.632
Li 0.905 0.750 0.762
Cu 0.098 0.750 0.060
Cu 0.115 0.250 0.744
Cu 0.302 0.750 0.867
Cu 0.311 0.250 0.544
Cu 0.490 0.750 0.165
Cu 0.490 0.750 0.662
Cu 0.510 0.250 0.338
Cu 0.510 0.250 0.835
Cu 0.689 0.750 0.456
Cu 0.698 0.250 0.133
Cu 0.885 0.750 0.256
Cu 0.902 0.250 0.940
Rh 0.096 0.750 0.564
Rh 0.904 0.250 0.436

***

LiCu4Rh: relaxed, GGA-PBE.

Calculated values
energy of formation from the pure elements	0.1	eV per formula unit
E	-4.256	eV/atom
V	78.0	Å³ per cell

Cell: 4.795 4.795 4.795 Å, 60.00 60.00 60.00°
Element x y z (fractional)
Li 0.000 0.000 0.000
Cu 0.375 0.375 0.375
Cu 0.375 0.375 0.875
Cu 0.375 0.875 0.375
Cu 0.875 0.375 0.375
Rh 0.750 0.750 0.750